A geometry-optimized Cd8Sn3Hg2 structure. Source: Alexandria, functional PBE-GGA.

abc: 6.977 6.508 8.745
angles: 111.84 103.53 90.00
Element x y z (fractional)
Cd: 0.032 0.652 0.304
Cd: 0.968 0.348 0.696
Cd: 0.835 0.159 0.317
Cd: 0.165 0.841 0.683
Cd: 0.589 0.596 0.734
Cd: 0.589 0.139 0.734
Cd: 0.411 0.861 0.266
Cd: 0.411 0.404 0.266
Sn: 0.500 0.000 0.000
Sn: 0.000 0.225 0.000
Sn: 0.000 0.775 0.000
Hg: 0.260 0.250 0.500
Hg: 0.740 0.750 0.500

Results
V (Å³/cell): 356.6
E above lowest polymorph (meV per atom): 56
Crystal system: monoclinic
Magnetization (μB per formula unit): 0.00
Formation energy from the elements (eV per atom): 0.10
DFT total energy (eV/atom): -1.43

=====

A geometry-optimized IrPdO2 structure. Source: Alexandria, functional PBE-GGA.

abc: 4.008 4.008 6.926
angles: 73.18 73.18 90.00
Element x y z (fractional)
Ir: 0.000 0.000 0.000
Ir: 0.750 0.250 0.500
O: 0.672 0.125 0.250
O: 0.078 0.625 0.250
O: 0.375 0.328 0.750
O: 0.875 0.922 0.750
Pd: 0.500 0.500 0.000
Pd: 0.250 0.750 0.500

Results
V (Å³/cell): 101.5
E above lowest polymorph (meV per atom): 469
Crystal system: tetragonal
Magnetization (μB per formula unit): 0.00
DFT total energy (eV/atom): -5.86

=====

Question: Which of these has the highest DFT total energy?
Answer: Cd8Sn3Hg2

=====

Question: Which of these has the lowest DFT total energy?
Answer: IrPdO2